{"formula": "Cs3KAg2I6", "functional": "PBE", "state": "relaxed", "lattice_angstrom": [[9.258, 0.000, 0.000], [-4.629, 8.018, 0.000], [0.000, 0.000, 10.129]], "species": ["Cs", "Cs", "Cs", "K", "Ag", "Ag", "I", "I", "I", "I", "I", "I"], "frac_coords": [[0.000, 0.000, 0.000], [0.333, 0.667, 0.628], [0.667, 0.333, 0.372], [0.000, 0.000, 0.500], [0.333, 0.667, 0.254], [0.667, 0.333, 0.746], [0.163, 0.327, 0.281], [0.163, 0.837, 0.281], [0.327, 0.163, 0.719], [0.673, 0.837, 0.281], [0.837, 0.163, 0.719], [0.837, 0.673, 0.719]], "formation_energy_uncorrected_kj_per_mol_fu": -1193, "magnetic_moment_mub_per_fu": 0.0, "sg": "P-3m1 (164)"}

---

{"formula": "Cs2KAg2I6", "functional": "PBE", "state": "relaxed", "lattice_angstrom": [[7.801, -3.946, 0.000], [7.801, 3.946, 0.000], [-4.662, 0.000, 9.104]], "species": ["Cs", "Cs", "K", "Ag", "Ag", "I", "I", "I", "I", "I", "I"], "frac_coords": [[0.210, 0.210, 0.215], [0.790, 0.790, 0.785], [0.000, 0.000, 0.500], [0.445, 0.445, 0.759], [0.555, 0.555, 0.241], [0.163, 0.693, 0.172], [0.251, 0.251, 0.625], [0.307, 0.837, 0.828], [0.693, 0.163, 0.172], [0.749, 0.749, 0.375], [0.837, 0.307, 0.828]], "formation_energy_uncorrected_kj_per_mol_fu": -930, "magnetic_moment_mub_per_fu": 0.0, "sg": "C2/m (12)"}

---

{"formula": "Cs2LaAgI6", "functional": "PBE", "state": "relaxed", "lattice_angstrom": [[8.646, 0.000, 0.000], [-4.323, 7.488, 0.000], [0.000, 0.000, 7.308]], "species": ["Cs", "Cs", "La", "Ag", "I", "I", "I", "I", "I", "I"], "frac_coords": [[0.333, 0.667, 0.248], [0.667, 0.333, 0.752], [0.000, 0.000, 0.500], [0.000, 0.000, 0.000], [0.170, 0.340, 0.756], [0.170, 0.830, 0.756], [0.340, 0.170, 0.244], [0.660, 0.830, 0.756], [0.830, 0.170, 0.244], [0.830, 0.660, 0.244]], "polymorph_energy_ev_per_atom": 0.000, "formation_energy_uncorrected_kj_per_mol_fu": -1247, "magnetic_moment_mub_per_fu": 0.0, "sg": "P-3m1 (164)"}

---

{"formula": "CsLaAgI5", "functional": "PBE", "state": "relaxed", "lattice_angstrom": [[5.249, -7.037, 0.000], [5.249, 7.037, 0.000], [-4.506, 0.000, 11.070]], "species": ["Cs", "Cs", "La", "La", "Ag", "Ag", "I", "I", "I", "I", "I", "I", "I", "I", "I", "I"], "frac_coords": [[0.146, 0.854, 0.750], [0.854, 0.146, 0.250], [0.500, 0.500, 0.000], [0.500, 0.500, 0.500], [0.190, 0.810, 0.250], [0.810, 0.190, 0.750], [0.122, 0.265, 0.936], [0.184, 0.594, 0.397], [0.265, 0.122, 0.436], [0.406, 0.816, 0.103], [0.422, 0.578, 0.750], [0.578, 0.422, 0.250], [0.594, 0.184, 0.897], [0.735, 0.878, 0.564], [0.816, 0.406, 0.603], [0.878, 0.735, 0.064]], "formation_energy_uncorrected_kj_per_mol_fu": -931, "magnetic_moment_mub_per_fu": 0.0, "sg": "C2/c (15)"}

---

{"formula": "Cs2LaAgI6", "functional": "PBE", "state": "relaxed", "lattice_angstrom": [[-4.381, 4.381, 6.220], [4.381, -4.381, 6.220], [4.381, 4.381, -6.220]], "species": ["Cs", "Cs", "La", "Ag", "I", "I", "I", "I", "I", "I"], "frac_coords": [[0.250, 0.750, 0.500], [0.750, 0.250, 0.500], [0.000, 0.000, 0.000], [0.500, 0.500, 0.000], [0.253, 0.253, 0.000], [0.254, 0.254, 0.509], [0.254, 0.746, 0.000], [0.746, 0.254, 0.000], [0.746, 0.746, 0.491], [0.747, 0.747, 0.000]], "polymorph_energy_ev_per_atom": 0.020, "formation_energy_uncorrected_kj_per_mol_fu": -1227, "magnetic_moment_mub_per_fu": 0.0, "sg": "I4/mmm (139)"}

---

{"formula": "CsLiAg2I4", "functional": "PBE", "state": "relaxed", "lattice_angstrom": [[-3.811, 4.523, 4.909], [3.811, -4.523, 4.909], [3.811, 4.523, -4.909]], "species": ["Cs", "Li", "Ag", "Ag", "I", "I", "I", "I"], "frac_coords": [[0.000, 0.000, 0.000], [0.500, 0.500, 0.000], [0.348, 0.848, 0.500], [0.652, 0.152, 0.500], [0.161, 0.119, 0.607], [0.488, 0.881, 0.042], [0.512, 0.554, 0.393], [0.839, 0.446, 0.958]], "formation_energy_uncorrected_kj_per_mol_fu": -618, "magnetic_moment_mub_per_fu": 0.0, "sg": "I222 (23)"}